1.
This record from Alexandria via LeMat-Bulk describes a geometry-optimized RbCa2Al structure. The functional is PBE.

a = 7.6369 Å, b = 7.6369 Å, c = 17.9844 Å
α = 90.00°, β = 90.00°, γ = 90.00°
Fractional coordinates of all 16 atoms:
Rb  0.0000  0.0000  0.0000
Rb  0.0000  0.5000  0.2500
Rb  0.5000  0.0000  0.7500
Rb  0.5000  0.5000  0.5000
Ca  0.0018  0.7500  0.6250
Ca  0.2500  0.0018  0.3750
Ca  0.2500  0.4982  0.8750
Ca  0.4982  0.7500  0.1250
Ca  0.5018  0.2500  0.1250
Ca  0.7500  0.5018  0.8750
Ca  0.7500  0.9982  0.3750
Ca  0.9982  0.2500  0.6250
Al  0.0000  0.0000  0.5000
Al  0.0000  0.5000  0.7500
Al  0.5000  0.0000  0.2500
Al  0.5000  0.5000  0.0000

The calculation puts the density at 1.2 g/cm³. The value obtained for the formation energy is 479 meV per atom.

2.
This record from Alexandria via LeMat-Bulk describes a geometry-optimized LiTl2Pt structure. The functional is PBE.

a = 3.5060 Å, b = 3.5834 Å, c = 6.5289 Å
α = 90.00°, β = 90.84°, γ = 90.00°
Fractional coordinates of all 4 atoms:
Li  0.0000  0.0000  0.0000
Tl  0.4963  0.5000  0.2572
Tl  0.5037  0.5000  0.7428
Pt  0.0000  0.0000  0.5000

The calculation puts the density at 12.4 g/cm³. The value obtained for the formation energy is -138 meV per atom.

3.
This record from Alexandria via LeMat-Bulk describes a geometry-optimized Pr2GaHPd6 structure. The functional is PBE.

a = 5.7936 Å, b = 5.7936 Å, c = 6.9183 Å
α = 114.66°, β = 114.66°, γ = 60.06°
Fractional coordinates of all 10 atoms:
Pr  0.2274  0.2274  0.1819
Pr  0.7726  0.7726  0.8181
Ga  0.5000  0.5000  0.0000
H  0.0000  0.0000  0.5000
Pd  0.2287  0.2287  0.6898
Pd  0.2291  0.7300  0.6881
Pd  0.2700  0.7709  0.3119
Pd  0.7300  0.2291  0.6881
Pd  0.7709  0.2700  0.3119
Pd  0.7713  0.7713  0.3102

The total energy comes out at -0.39688 Ry/atom. The calculation puts the density at 9.3 g/cm³.